(1)
Computed, not measured: an optimized crystal structure of LaZr2Se at the PBE level of DFT.

a b c (Å): 6.7026 6.7026 6.7026
angles (deg): 101.19 101.19 127.72
Last column: nearest neighbours and their distance in Å.
Sites, in units of the cell vectors:
1 La 0.0000 0.0000 0.0000  2 Se 2.95
2 La 0.7500 0.2500 0.5000  2 Se 2.95
3 Zr 0.2070 0.6250 0.0820  2 Se 2.67
4 Zr 0.3750 0.4570 0.5820  2 Se 2.67
5 Zr 0.5430 0.1250 0.9180  2 Se 2.67
6 Zr 0.8750 0.7930 0.4180  2 Se 2.67
7 Se 0.2500 0.7500 0.5000  4 Zr 2.67, 2 La 2.95
8 Se 0.5000 0.5000 0.0000  4 Zr 2.67, 2 La 2.95

Calculated values
* space-group type: I-42d (122)

(2)
Computed, not measured: an optimized crystal structure of La2ZrSe5 at the PBE level of DFT.

a b c (Å): 7.7766 7.7766 13.6624
angles (deg): 90.00 90.00 137.66
Last column: nearest neighbours and their distance in Å.
Sites, in units of the cell vectors:
1 La 0.1455 0.8545 0.5660  6 Se 2.93-3.13
2 La 0.1455 0.8545 0.9340  6 Se 2.93-3.13
3 La 0.8545 0.1455 0.0660  6 Se 2.93-3.13
4 La 0.8545 0.1455 0.4340  6 Se 2.93-3.13
5 Zr 0.1857 0.8143 0.2500  6 Se 2.62-2.87
6 Zr 0.8143 0.1857 0.7500  6 Se 2.62-2.87
7 Se 0.0496 0.9504 0.1239  1 Zr 2.62
8 Se 0.0496 0.9504 0.3761  1 Zr 2.62
9 Se 0.2742 0.7258 0.7500  2 Zr 2.87, 2 La 3.13
10 Se 0.3005 0.6995 0.0888  1 Zr 2.76, 3 La 2.93-3.09
11 Se 0.3005 0.6995 0.4112  1 Zr 2.76, 3 La 2.93-3.09
12 Se 0.6995 0.3005 0.5888  1 Zr 2.76, 3 La 2.93-3.09
13 Se 0.6995 0.3005 0.9112  1 Zr 2.76, 3 La 2.93-3.09
14 Se 0.7258 0.2742 0.2500  2 Zr 2.87, 2 La 3.13
15 Se 0.9504 0.0496 0.6239  1 Zr 2.62
16 Se 0.9504 0.0496 0.8761  1 Zr 2.62

Calculated values
* space-group type: Cmcm (63)

Number 1: total magnetic moment 0.000 μB/f.u., ΔE_f (raw) -1.425 eV per formula unit. Number 2: total magnetic moment 0.000 μB/f.u., ΔE_f (raw) -13.282 eV per formula unit.